No. 1
A plane-wave DFT calculation with PBE was carried out for a relaxed structure of TlRh2Cl.

a = 6.9749 Å, b = 6.9749 Å, c = 3.8783 Å
α = 87.09°, β = 87.09°, γ = 25.86°
Fractional positions:
Cl  0.1992  0.1992  0.0472
Rh  0.0313  0.0313  0.9637
Rh  0.8306  0.8306  0.0071
Tl  0.4389  0.4389  0.4820

Properties
* theoretical density: 9.00 g/cm3
* total magnetization: 0.0 μB/f.u.
* E: -4.58 eV/atom
* formation energy (no corrections): 0.152 eV/atom
* distance to the lowest polymorph of the same formula: 1.4 kJ per mole of atoms
* space-group type: No. 8

---

No. 2
A plane-wave DFT calculation with PBE was carried out for a relaxed structure of TlRhCl.

a = 3.5248 Å, b = 3.5248 Å, c = 5.8489 Å
α = 90.00°, β = 90.00°, γ = 120.00°
Fractional positions:
Cl  0.0000  0.0000  0.0332
Rh  0.6667  0.3333  0.3288
Tl  0.3333  0.6667  0.6380

Properties
* theoretical density: 9.04 g/cm3
* total magnetization: 0.0 μB/f.u.
* E: -3.76 eV/atom
* formation energy (no corrections): 0.094 eV/atom
* distance to the lowest polymorph of the same formula: 0.0 kJ per mole of atoms
* space-group type: No. 156

---

No. 3
A plane-wave DFT calculation with PBE was carried out for a relaxed structure of TlRhCl.

a = 4.5708 Å, b = 4.5708 Å, c = 4.5708 Å
α = 60.00°, β = 60.00°, γ = 60.00°
Fractional positions:
Cl  0.5000  0.5000  0.5000
Rh  0.7500  0.7500  0.7500
Tl  0.0000  0.0000  0.0000

Properties
* theoretical density: 8.43 g/cm3
* total magnetization: 0.0 μB/f.u.
* E: -3.69 eV/atom
* formation energy (no corrections): 0.161 eV/atom
* distance to the lowest polymorph of the same formula: 6.4 kJ per mole of atoms
* space-group type: No. 216

---

No. 4
A plane-wave DFT calculation with PBE was carried out for a relaxed structure of TlRh2Cl.

a = 3.2520 Å, b = 3.2520 Å, c = 6.6570 Å
α = 90.00°, β = 90.00°, γ = 90.00°
Each line ends with the local moment (μB).
Fractional positions:
Cl  0.5000  0.5000  0.7500  0.10
Rh  0.0000  0.0000  0.0084  0.51
Rh  0.0000  0.0000  0.4916  0.51
Tl  0.5000  0.5000  0.2500  -0.02

Properties
* theoretical density: 10.51 g/cm3
* total magnetization: 1.1 μB/f.u.
* E: -4.35 eV/atom
* formation energy (no corrections): 0.382 eV/atom
* distance to the lowest polymorph of the same formula: 23.6 kJ per mole of atoms
* space-group type: No. 123